# Pm6TmGe4 (PBE, relaxed)
# - electronic total energy (eV per atom) = -5.223
# - spin magnetization (μB per formula unit) = 0.0
data_Pm6TmGe4
_chemical_formula_sum 'Pm6 Tm1 Ge4'
_cell_length_a 9.3135
_cell_length_b 9.3135
_cell_length_c 4.0588
_cell_angle_alpha 90.00
_cell_angle_beta 90.00
_cell_angle_gamma 120.00
_symmetry_space_group_name_H-M 'P -6 m 2'
_symmetry_Int_Tables_number 187
_symmetry_space_group_name_Hall 'P -6 2'
loop_
_atom_site_label
_atom_site_type_symbol
_atom_site_fract_x
_atom_site_fract_y
_atom_site_fract_z
Pm1 Pm 0.0571 0.5286 0.0000
Pm2 Pm 0.1251 0.2501 0.5000
Tm1 Tm 0.6667 0.3333 0.5000
Ge1 Ge 0.3333 0.6667 0.5000
Ge2 Ge 0.3443 0.1722 0.0000

***

# Li4MgAs (PBE, relaxed)
# - electronic total energy (eV per atom) = -2.405
# - spin magnetization (μB per formula unit) = 0.0
data_Li4MgAs
_chemical_formula_sum 'Li16 Mg4 As4'
_cell_length_a 7.496
_cell_length_b 7.496
_cell_length_c 7.496
_cell_angle_alpha 90.00
_cell_angle_beta 90.00
_cell_angle_gamma 90.00
_symmetry_space_group_name_H-M 'F -4 3 m'
_symmetry_Int_Tables_number 216
_symmetry_space_group_name_Hall 'F -4 2 3'
loop_
_atom_site_label
_atom_site_type_symbol
_atom_site_fract_x
_atom_site_fract_y
_atom_site_fract_z
Li1 Li 0.125 0.125 0.125
Mg1 Mg 0.250 0.250 0.750
As1 As 0.000 0.000 0.500

***

# Ni3S2 (PBE, relaxed)
# - uncorrected formation energy (eV/atom) = -0.1926
# - electronic total energy (eV per atom) = -5.312
# - spin magnetization (μB per formula unit) = 0.0
data_Ni3S2
_chemical_formula_sum 'Ni9 S6'
_cell_length_a 3.3823
_cell_length_b 3.3823
_cell_length_c 21.0133
_cell_angle_alpha 90.00
_cell_angle_beta 90.00
_cell_angle_gamma 120.00
_symmetry_space_group_name_H-M 'R 3 m'
_symmetry_Int_Tables_number 160
_symmetry_space_group_name_Hall 'R 3 -2"'
loop_
_atom_site_label
_atom_site_type_symbol
_atom_site_fract_x
_atom_site_fract_y
_atom_site_fract_z
Ni1 Ni 0.0000 0.0000 0.0000
Ni2 Ni 0.0000 0.0000 0.1130
Ni3 Ni 0.0000 0.0000 0.5191
S1 S 0.0000 0.0000 0.3909
S2 S 0.0000 0.0000 0.8976

***

# CsK2Na (PBE, relaxed)
# - E above lowest polymorph (eV/atom) = 0.010
# - electronic total energy (eV per atom) = -1.067
# - spin magnetization (μB per formula unit) = 0.0
data_CsK2Na
_chemical_formula_sum 'Cs1 K2 Na1'
_cell_length_a 5.040
_cell_length_b 5.040
_cell_length_c 11.421
_cell_angle_alpha 90.00
_cell_angle_beta 90.00
_cell_angle_gamma 90.00
_symmetry_space_group_name_H-M 'P 4/m m m'
_symmetry_Int_Tables_number 123
_symmetry_space_group_name_Hall '-P 4 2'
loop_
_atom_site_label
_atom_site_type_symbol
_atom_site_fract_x
_atom_site_fract_y
_atom_site_fract_z
Cs1 Cs 0.000 0.000 0.000
K1 K 0.500 0.500 0.310
Na1 Na 0.000 0.000 0.500